Ca5Br5N2 | PBE-GGA | relaxed

Values from the calculation:
The calculation puts the uncorrected formation energy at -1.442 eV/atom.

CIF file:
```
data_Ca5Br5N2
_symmetry_space_group_name_H-M 'C 1 2/m 1'
_symmetry_Int_Tables_number 12
_symmetry_space_group_name_Hall '-C 2y'
_cell_length_a 14.183
_cell_length_b 4.040
_cell_length_c 10.944
_cell_angle_alpha 90.00
_cell_angle_beta 100.39
_cell_angle_gamma 90.00
loop_
_atom_site_label
_atom_site_type_symbol
_atom_site_fract_x
_atom_site_fract_y
_atom_site_fract_z
Ca1 Ca 0.000 0.000 0.000
Ca2 Ca 0.107 0.500 0.784
Ca3 Ca 0.108 0.000 0.350
Br1 Br 0.000 0.500 0.500
Br2 Br 0.151 0.500 0.056
Br3 Br 0.232 0.000 0.635
N1 N 0.024 0.000 0.792
```

=====

Tl2Cu2RhSe4 | PBE-GGA | relaxed

Values from the calculation:
The calculation puts the uncorrected formation energy at -0.286 eV/atom.

CIF file:
```
data_Tl2Cu2RhSe4
_symmetry_space_group_name_H-M 'C 1 2/m 1'
_symmetry_Int_Tables_number 12
_symmetry_space_group_name_Hall '-C 2y'
_cell_length_a 14.795
_cell_length_b 3.898
_cell_length_c 7.583
_cell_angle_alpha 90.00
_cell_angle_beta 111.90
_cell_angle_gamma 90.00
loop_
_atom_site_label
_atom_site_type_symbol
_atom_site_fract_x
_atom_site_fract_y
_atom_site_fract_z
Tl1 Tl 0.132 0.000 0.056
Cu1 Cu 0.193 0.500 0.488
Rh1 Rh 0.000 0.000 0.500
Se1 Se 0.018 0.500 0.296
Se2 Se 0.185 0.000 0.676
```

=====

CsErGeS4 | PBE-GGA | relaxed

Values from the calculation:
The calculation puts the uncorrected formation energy at -1.258 eV/atom.

CIF file:
```
data_CsErGeS4
_symmetry_space_group_name_H-M 'P 1 21/m 1'
_symmetry_Int_Tables_number 11
_symmetry_space_group_name_Hall '-P 2yb'
_cell_length_a 6.477
_cell_length_b 6.822
_cell_length_c 9.492
_cell_angle_alpha 90.00
_cell_angle_beta 108.30
_cell_angle_gamma 90.00
loop_
_atom_site_label
_atom_site_type_symbol
_atom_site_fract_x
_atom_site_fract_y
_atom_site_fract_z
Cs1 Cs 0.238 0.250 0.440
Er1 Er 0.280 0.250 0.954
Ge1 Ge 0.271 0.750 0.156
S1 S 0.051 0.750 0.926
S2 S 0.070 0.750 0.306
S3 S 0.494 0.502 0.811
```

=====

CaPCl2 | PBE-GGA | relaxed

Values from the calculation:
The calculation puts the uncorrected formation energy at -0.663 eV/atom. For the distance to the lowest polymorph of the same formula, the calculation gives 1.59 eV/f.u.

CIF file:
```
data_CaPCl2
_symmetry_space_group_name_H-M 'F m -3 m'
_symmetry_Int_Tables_number 225
_symmetry_space_group_name_Hall '-F 4 2 3'
_cell_length_a 7.231
_cell_length_b 7.231
_cell_length_c 7.231
_cell_angle_alpha 90.00
_cell_angle_beta 90.00
_cell_angle_gamma 90.00
loop_
_atom_site_label
_atom_site_type_symbol
_atom_site_fract_x
_atom_site_fract_y
_atom_site_fract_z
Ca1 Ca 0.000 0.000 0.000
P1 P 0.000 0.000 0.500
Cl1 Cl 0.250 0.250 0.250
```

=====

Ca2MoOs | PBE-GGA | relaxed

Values from the calculation:
The calculation puts the formation enthalpy at 0 K at 646.6 meV/atom. For the distance to the lowest polymorph of the same formula, the calculation gives 1.60 eV/f.u.

CIF file:
```
data_Ca2MoOs
_symmetry_space_group_name_H-M 'I -4 m 2'
_symmetry_Int_Tables_number 119
_symmetry_space_group_name_Hall 'I -4 -2'
_cell_length_a 4.820
_cell_length_b 4.820
_cell_length_c 6.803
_cell_angle_alpha 90.00
_cell_angle_beta 90.00
_cell_angle_gamma 90.00
loop_
_atom_site_label
_atom_site_type_symbol
_atom_site_fract_x
_atom_site_fract_y
_atom_site_fract_z
Ca1 Ca 0.000 0.000 0.000
Ca2 Ca 0.000 0.500 0.250
Mo1 Mo 0.000 0.000 0.500
Os1 Os 0.000 0.500 0.750
```

=====

BaTc2Br | PBE-GGA | relaxed

Values from the calculation:
The calculation puts the uncorrected formation energy at 1.318 eV/atom. For the distance to the lowest polymorph of the same formula, the calculation gives 4.75 eV/f.u.

CIF file:
```
data_BaTc2Br
_symmetry_space_group_name_H-M 'R -3 m'
_symmetry_Int_Tables_number 166
_symmetry_space_group_name_Hall '-R 3 2"'
_cell_length_a 3.1308
_cell_length_b 3.1308
_cell_length_c 29.5607
_cell_angle_alpha 90.00
_cell_angle_beta 90.00
_cell_angle_gamma 120.00
loop_
_atom_site_label
_atom_site_type_symbol
_atom_site_fract_x
_atom_site_fract_y
_atom_site_fract_z
Ba1 Ba 0.0000 0.0000 0.0000
Tc1 Tc 0.0000 0.0000 0.2349
Br1 Br 0.0000 0.0000 0.5000
```

=====

La2Pr4Sn | PBE-GGA | relaxed

Values from the calculation:
The calculation puts the formation enthalpy at 0 K at 266.0 meV/atom.

CIF file:
```
data_La2Pr4Sn
_symmetry_space_group_name_H-M 'C m m m'
_symmetry_Int_Tables_number 65
_symmetry_space_group_name_Hall '-C 2 2'
_cell_length_a 6.238
_cell_length_b 12.696
_cell_length_c 6.125
_cell_angle_alpha 90.00
_cell_angle_beta 90.00
_cell_angle_gamma 90.00
loop_
_atom_site_label
_atom_site_type_symbol
_atom_site_fract_x
_atom_site_fract_y
_atom_site_fract_z
La1 La 0.000 0.110 0.000
Pr1 Pr 0.000 0.162 0.500
Pr2 Pr 0.000 0.365 0.000
Sn1 Sn 0.000 0.500 0.500
```

=====

TeSe2F | PBE-GGA | relaxed

Values from the calculation:
The calculation puts the uncorrected formation energy at 0.054 eV/atom. For the distance to the lowest polymorph of the same formula, the calculation gives 1.57 eV/f.u.

CIF file:
```
data_TeSe2F
_symmetry_space_group_name_H-M 'R -3 m'
_symmetry_Int_Tables_number 166
_symmetry_space_group_name_Hall '-R 3 2"'
_cell_length_a 3.1618
_cell_length_b 3.1618
_cell_length_c 28.2782
_cell_angle_alpha 90.00
_cell_angle_beta 90.00
_cell_angle_gamma 120.00
loop_
_atom_site_label
_atom_site_type_symbol
_atom_site_fract_x
_atom_site_fract_y
_atom_site_fract_z
Te1 Te 0.0000 0.0000 0.0000
Se1 Se 0.0000 0.0000 0.0979
F1 F 0.0000 0.0000 0.5000
```

=====

LiZrIn | PBE-GGA | relaxed

Values from the calculation:
The calculation puts the formation enthalpy at 0 K at -100.5 meV/atom. For the distance to the lowest polymorph of the same formula, the calculation gives 0.37 eV/f.u.

CIF file:
```
data_LiZrIn
_symmetry_space_group_name_H-M 'P -1'
_symmetry_Int_Tables_number 2
_symmetry_space_group_name_Hall '-P 1'
_cell_length_a 4.929
_cell_length_b 5.686
_cell_length_c 5.689
_cell_angle_alpha 65.57
_cell_angle_beta 64.45
_cell_angle_gamma 64.45
loop_
_atom_site_label
_atom_site_type_symbol
_atom_site_fract_x
_atom_site_fract_y
_atom_site_fract_z
Li1 Li 0.194 0.058 0.056
Zr1 Zr 0.173 0.577 0.576
In1 In 0.500 0.000 0.500
In2 In 0.500 0.500 0.000
```

=====

Y5Pd4Ru | PBE-GGA | relaxed

Values from the calculation:
The calculation puts the formation enthalpy at 0 K at -786.8 meV/atom.

CIF file:
```
data_Y5Pd4Ru
_symmetry_space_group_name_H-M 'P 4/m m m'
_symmetry_Int_Tables_number 123
_symmetry_space_group_name_Hall '-P 4 2'
_cell_length_a 3.474
_cell_length_b 3.474
_cell_length_c 17.719
_cell_angle_alpha 90.00
_cell_angle_beta 90.00
_cell_angle_gamma 90.00
loop_
_atom_site_label
_atom_site_type_symbol
_atom_site_fract_x
_atom_site_fract_y
_atom_site_fract_z
Y1 Y 0.000 0.000 0.000
Y2 Y 0.000 0.000 0.202
Y3 Y 0.000 0.000 0.406
Pd1 Pd 0.500 0.500 0.101
Pd2 Pd 0.500 0.500 0.301
Ru1 Ru 0.500 0.500 0.500
```

=====

Calculated total energy? In order: -4.361, -4.087, -5.050, -3.439, -5.869, -4.764, -4.445, -2.942, -4.501, -7.024 eV per atom.
Calculated volume? In order: 616.8, 405.7, 398.2, 378.1, 158.1, 250.9, 485.1, 244.8, 124.6, 213.8 Å³ per cell.